Entry 1:
Below is SmYLuAg after structural relaxation, with properties calculated at the PBE level.

POSCAR file:
```
SmYLuAg
1.0
-3.9166 -2.7444 -2.4755
-3.1312 -3.3556 2.8169
-5.1570 1.2553 0.9102
Sm Y Lu Ag
1 1 1 1
direct
0.2500 0.2500 0.2500
0.7500 0.7500 0.7500
0.5000 0.5000 0.5000
0.0000 0.0000 0.0000
```

Summary:
Fermi-level density of states ... 3.39 states/eV/cell
Calculated formation energy ... 0.04 eV per atom
VASP energy ... -4.598 eV per atom
Space-group type ... F-43m, No. 216

***

Entry 2:
Below is LuAg2Sn after structural relaxation, with properties calculated at the PBE level.

POSCAR file:
```
LuAg2Sn
1.0
4.4419 0.0000 0.0000
0.0000 4.4078 0.0000
0.0000 0.0000 4.4078
Ag Sn Lu
2 1 1
direct
0.0000 0.5000 0.0000
0.0000 0.0000 0.5000
0.5000 0.5000 0.5000
0.5000 0.0000 0.0000
```

Summary:
Fermi-level density of states ... 2.19 states/eV/cell
Calculated formation energy ... -0.28 eV per atom
VASP energy ... -3.841 eV per atom
Space-group type ... P4/mmm, No. 123

***

Entry 3:
Below is LuAg4Sn after structural relaxation, with properties calculated at the PBE level.

POSCAR file:
```
LuAg4Sn
1.0
-3.6155 -1.6527 -3.9472
0.8350 -4.8259 -2.7196
-3.3762 -4.3690 0.9464
Ag Lu Sn
4 1 1
direct
0.6247 0.6247 0.6247
0.6247 0.1259 0.6247
0.6247 0.6247 0.1259
0.1259 0.6247 0.6247
0.2500 0.2500 0.2500
0.0000 0.0000 0.0000
```

Summary:
Fermi-level density of states ... 4.41 states/eV/cell
Calculated formation energy ... -0.14 eV per atom
VASP energy ... -3.462 eV per atom
Space-group type ... F-43m, No. 216